(1)
EuPIr | PBE-GGA | relaxed

## Properties
Space-group type = P2_13, No. 198
Spin magnetization = 27.257 μB per cell
Energy of formation = -1060 meV/atom

Cell lengths 6.2835, 6.2835, 6.2835 Å; angles 90.00, 90.00, 90.00 degrees
Site moments in Bohr magnetons follow the coordinates.
Atoms (fractional coordinates):
P 0.1694 0.3306 0.6694  -0.02
P 0.6694 0.1694 0.3306  -0.02
P 0.3306 0.6694 0.1694  -0.02
P 0.8306 0.8306 0.8306  -0.02
Eu 0.6097 0.3903 0.8903  6.73
Eu 0.1097 0.1097 0.1097  6.73
Eu 0.8903 0.6097 0.3903  6.73
Eu 0.3903 0.8903 0.6097  6.73
Ir 0.9150 0.0850 0.5850  -0.08
Ir 0.0850 0.5850 0.9150  -0.08
Ir 0.5850 0.9150 0.0850  -0.08
Ir 0.4150 0.4150 0.4150  -0.08



(2)
Ac3Mg4Ag8 | PBE-GGA | relaxed

## Properties
Space-group type = Fm-3m, No. 225
Spin magnetization = 0.000 μB per cell
Energy of formation = -189 meV/atom

Cell lengths 10.1051, 10.1051, 10.1051 Å; angles 60.00, 60.00, 60.00 degrees
Atoms (fractional coordinates):
Mg 0.0000 0.0000 0.5000
Mg 0.5000 0.0000 0.5000
Mg 0.5000 0.5000 0.0000
Mg 0.0000 0.5000 0.5000
Mg 0.0000 0.5000 0.0000
Mg 0.0000 0.0000 0.0000
Mg 0.5000 0.0000 0.0000
Mg 0.5000 0.5000 0.5000
Ac 0.2679 0.7321 0.7321
Ac 0.7321 0.7321 0.2679
Ac 0.2679 0.7321 0.2679
Ac 0.7321 0.2679 0.2679
Ac 0.2679 0.2679 0.7321
Ac 0.7321 0.2679 0.7321
Ag 0.9989 0.6670 0.6670
Ag 0.1301 0.1301 0.1301
Ag 0.1301 0.1301 0.6096
Ag 0.3330 0.3330 0.3330
Ag 0.0011 0.3330 0.3330
Ag 0.1301 0.6096 0.1301
Ag 0.6096 0.1301 0.1301
Ag 0.8699 0.3904 0.8699
Ag 0.8699 0.8699 0.8699
Ag 0.6670 0.6670 0.9989
Ag 0.3904 0.8699 0.8699
Ag 0.6670 0.9989 0.6670
Ag 0.8699 0.8699 0.3904
Ag 0.3330 0.0011 0.3330
Ag 0.6670 0.6670 0.6670
Ag 0.3330 0.3330 0.0011



(3)
Pr2Nd8Er3 | PBE-GGA | relaxed

## Properties
Space-group type = C2/m, No. 12
Spin magnetization = 0.000 μB per cell
ΔE to the lowest computed polymorph = 39 meV/atom
Energy of formation = 199 meV/atom

Cell lengths 5.7079, 7.7345, 11.1167 Å; angles 110.36, 90.02, 90.00 degrees
Atoms (fractional coordinates):
Pr 0.4990 0.2397 0.4794
Pr 0.5010 0.7603 0.5206
Nd 0.4998 0.1926 0.7940
Nd 0.9996 0.1285 0.2570
Nd 0.0008 0.6691 0.3383
Nd 0.0004 0.8715 0.7430
Nd 0.4998 0.6014 0.7940
Nd 0.5002 0.8074 0.2060
Nd 0.5002 0.3986 0.2060
Nd 0.9992 0.3309 0.6617
Er 0.5000 0.0000 0.0000
Er 0.0000 0.7148 0.0000
Er 0.0000 0.2852 0.0000



(4)
TeCl6F2 | PBE-GGA | relaxed

## Properties
Space-group type = P2_1/c, No. 14
Spin magnetization = 0.000 μB per cell
Uncorrected formation energy = -0.3142 eV/atom

Cell lengths 6.6274, 7.5622, 11.2102 Å; angles 90.00, 89.67, 90.00 degrees
Atoms (fractional coordinates):
Cl 0.3380 0.7797 0.0626
Cl 0.7862 0.6706 0.9168
Cl 0.2862 0.8294 0.4168
Cl 0.6620 0.2203 0.9374
Cl 0.2919 0.5392 0.7439
Cl 0.7081 0.4608 0.2561
Cl 0.2081 0.0392 0.7561
Cl 0.1620 0.2797 0.4374
Cl 0.8380 0.7203 0.5626
Cl 0.7138 0.1706 0.5832
Cl 0.2138 0.3294 0.0832
Cl 0.7919 0.9608 0.2439
Te 0.5000 0.5000 0.0000
Te 0.0000 0.0000 0.5000
F 0.1178 0.2407 0.7810
F 0.3822 0.7407 0.7190
F 0.8822 0.7593 0.2190
F 0.6178 0.2593 0.2810



(5)
LaTaTiO6 | PBE-GGA | relaxed

## Properties
Space-group type = P-31c, No. 163
Spin magnetization = 0.000 μB per cell
ΔE to the lowest computed polymorph = 9 meV/atom
Uncorrected formation energy = -3.1817 eV/atom

Cell lengths 5.2549, 5.2549, 10.3786 Å; angles 90.00, 90.00, 120.00 degrees
Atoms (fractional coordinates):
La 0.0000 0.0000 0.5000
La 0.0000 0.0000 0.0000
O 0.6298 0.6269 0.6442
O 0.6269 0.9971 0.3558
O 0.6298 0.0029 0.8558
O 0.3731 0.3702 0.8558
O 0.6269 0.6298 0.1442
O 0.3702 0.9971 0.1442
O 0.3731 0.0029 0.6442
O 0.0029 0.6298 0.3558
O 0.0029 0.3731 0.1442
O 0.9971 0.6269 0.8558
O 0.3702 0.3731 0.3558
O 0.9971 0.3702 0.6442
Ta 0.3333 0.6667 0.7500
Ta 0.6667 0.3333 0.2500
Ti 0.6667 0.3333 0.7500
Ti 0.3333 0.6667 0.2500



(6)
Ti2TlGa2 | PBE-GGA | relaxed

## Properties
Space-group type = P4/mbm, No. 127
Spin magnetization = 1.321 μB per cell
ΔE to the lowest computed polymorph = 10 meV/atom
Energy of formation = -86 meV/atom

Cell lengths 7.7382, 7.7382, 3.1407 Å; angles 90.00, 90.00, 90.00 degrees
Site moments in Bohr magnetons follow the coordinates.
Atoms (fractional coordinates):
Ti 0.1222 0.3778 0.0000  0.28
Ti 0.3778 0.8778 0.0000  0.29
Ti 0.8778 0.6222 0.0000  0.28
Ti 0.6222 0.1222 0.0000  0.29
Ga 0.3236 0.1764 0.5000  -0.01
Ga 0.6764 0.8236 0.5000  -0.01
Ga 0.1764 0.6764 0.5000  -0.01
Ga 0.8236 0.3236 0.5000  -0.01
Tl 0.0000 0.0000 0.0000  0.00
Tl 0.5000 0.5000 0.0000  0.00



What is the spin magnetization in the sixth record? 1.321 μB per cell



Number 3 is which compound? Pr2Nd8Er3